Record 1
## FeRe3Os (GGA-PBE)

Data for a relaxed structure of FeRe3Os.

a b c (Å): 4.2625 8.4418 4.7930
angles (deg): 90.00 116.40 90.00
Closest atoms and distances in Å follow each position.
Fractional positions:
Fe1 0.0052 0.2500 0.0081  6 Re 2.48-2.55, 2 Os 2.54
Fe2 0.9948 0.7500 0.9919  6 Re 2.48-2.55, 2 Os 2.54
Re1 0.1656 0.5038 0.3311  2 Fe 2.54-2.55, 3 Re 2.58-2.61, 1 Os 2.63
Re2 0.1656 0.9962 0.3311  2 Fe 2.54-2.55, 3 Re 2.58-2.61, 1 Os 2.63
Re3 0.3481 0.7500 0.6981  2 Fe 2.48, 2 Re 2.61, 3 Os 2.64-2.70
Re4 0.6519 0.2500 0.3019  2 Fe 2.48, 2 Re 2.61, 3 Os 2.64-2.70
Re5 0.8344 0.0038 0.6689  2 Fe 2.54-2.55, 3 Re 2.58-2.61, 1 Os 2.63
Re6 0.8344 0.4962 0.6689  2 Fe 2.54-2.55, 3 Re 2.58-2.61, 1 Os 2.63
Os1 0.3446 0.2500 0.6874  2 Fe 2.54, 5 Re 2.63-2.70
Os2 0.6554 0.7500 0.3126  2 Fe 2.54, 5 Re 2.63-2.70

Symmetry ... No. 11
Offset from the most stable computed form ... 0.0000 eV/atom

=====

Record 2
## Ba2CdRhCl (GGA-PBE)

Data for a relaxed structure of Ba2CdRhCl.

a b c (Å): 5.9785 5.9785 5.1772
angles (deg): 90.00 90.00 90.00
Closest atoms and distances in Å follow each position.
Fractional positions:
Ba1 0.0000 0.5000 0.0000  2 Rh 2.99
Ba2 0.5000 0.0000 0.0000  2 Rh 2.99
Cd1 0.0000 0.0000 0.5000  2 Rh 2.59
Rh1 0.0000 0.0000 0.0000  2 Cd 2.59
Cl1 0.5000 0.5000 0.5000  8 Ba 3.95, 4 Cd 4.23

Symmetry ... No. 123
Raw formation energy ... -0.7265 eV per atom

=====

What calculated density values result from the calculations? In sequence: 17.30; 4.72 Mg/m³.